DyY2HoSc4: relaxed, PBE-GGA.

Computed properties:
The formation energy comes out at 0.0567 eV per atom. The space group is P4/mmm.

Cell lengths 4.887, 4.884, 10.565 Å; angles 62.47, 90.00, 90.00 degrees
Positions (direct):
Y (0.000, 0.000, 0.000)
Sc (0.500, 0.250, 0.750)
Y (0.500, 0.000, 0.500)
Sc (0.000, 0.250, 0.250)
Sc (0.000, 0.750, 0.750)
Ho (0.500, 0.500, 0.000)
Dy (0.000, 0.500, 0.500)
Sc (0.500, 0.750, 0.250)


DyY2Ho6Sc3: relaxed, PBE-GGA.

Computed properties:
The formation energy comes out at 0.0461 eV per atom. The space group is C2/m.

Cell lengths 6.024, 6.024, 11.446 Å; angles 95.03, 95.03, 119.96 degrees
Positions (direct):
Sc (0.500, 0.500, 0.500)
Y (0.333, 0.667, 0.000)
Sc (0.833, 0.167, 0.500)
Ho (0.419, 0.087, 0.260)
Ho (0.087, 0.419, 0.260)
Ho (0.581, 0.913, 0.740)
Sc (0.167, 0.833, 0.500)
Ho (0.913, 0.581, 0.740)
Dy (0.000, 0.000, 0.000)
Ho (0.246, 0.246, 0.740)
Ho (0.754, 0.754, 0.260)
Y (0.667, 0.333, 0.000)


DyY6HoSc2: relaxed, PBE-GGA.

Computed properties:
The formation energy comes out at 0.1263 eV per atom. The space group is C2/c.

Cell lengths 9.411, 8.626, 8.626 Å; angles 116.97, 93.84, 93.84 degrees
Positions (direct):
Y (0.385, 0.506, 0.299)
Sc (0.549, 0.196, 0.300)
Y (0.115, 0.701, 0.494)
Y (0.554, 0.759, 0.116)
Y (0.946, 0.884, 0.241)
Dy (0.750, 0.028, 0.972)
Y (0.446, 0.241, 0.884)
Sc (0.951, 0.700, 0.804)
Y (0.054, 0.116, 0.759)
Y (0.819, 0.439, 0.985)
Ho (0.750, 0.592, 0.408)
Dy (0.250, 0.972, 0.028)
Y (0.681, 0.015, 0.561)
Sc (0.049, 0.300, 0.196)
Y (0.181, 0.561, 0.015)
Y (0.319, 0.985, 0.439)
Y (0.885, 0.299, 0.506)
Sc (0.451, 0.804, 0.700)
Ho (0.250, 0.408, 0.592)
Y (0.615, 0.494, 0.701)


DyYHoSc: relaxed, PBE-GGA.

Computed properties:
The formation energy comes out at 0.0457 eV per atom. Its distance to the lowest polymorph of the same formula is 0 meV/atom. The space group is I-4m2.

Cell lengths 4.935, 4.937, 5.994 Å; angles 114.32, 114.31, 90.00 degrees
Positions (direct):
Ho (0.120, 0.120, 0.240)
Dy (0.870, 0.370, 0.740)
Sc (0.620, 0.620, 0.239)
Y (0.370, 0.870, 0.739)


Dy6YHo2Sc3: relaxed, PBE-GGA.

Computed properties:
The formation energy comes out at 0.0443 eV per atom. The space group is C2/m.

Cell lengths 6.033, 6.033, 11.439 Å; angles 95.04, 95.04, 119.95 degrees
Positions (direct):
Dy (0.753, 0.753, 0.259)
Sc (0.833, 0.167, 0.500)
Dy (0.087, 0.421, 0.259)
Sc (0.167, 0.833, 0.500)
Sc (0.500, 0.500, 0.500)
Dy (0.247, 0.247, 0.741)
Y (0.000, 0.000, 0.000)
Dy (0.913, 0.579, 0.741)
Dy (0.579, 0.913, 0.741)
Ho (0.333, 0.667, 0.000)
Ho (0.667, 0.333, 0.000)
Dy (0.421, 0.087, 0.259)


DyYHo2Sc4: relaxed, PBE-GGA.

Computed properties:
The formation energy comes out at 0.0545 eV per atom. The space group is P4/mmm.

Cell lengths 4.880, 4.872, 10.546 Å; angles 62.48, 90.00, 90.00 degrees
Positions (direct):
Ho (0.500, 0.000, 0.500)
Sc (0.000, 0.751, 0.749)
Dy (0.000, 0.500, 0.500)
Y (0.500, 0.500, 0.000)
Ho (0.000, 0.000, 0.000)
Sc (0.500, 0.749, 0.251)
Sc (0.000, 0.249, 0.251)
Sc (0.500, 0.251, 0.749)


Dy4YHoSc2: relaxed, PBE-GGA.

Computed properties:
The formation energy comes out at 0.4445 eV per atom. The space group is Imma.

Cell lengths 9.275, 9.275, 11.496 Å; angles 128.29, 128.29, 88.54 degrees
Last column: magnetic moment on the atom in μB.
Positions (direct):
Dy (0.261, 0.239, 0.511)  0.32
Y (0.000, 0.500, 0.500)  0.26
Sc (0.000, 0.000, 0.500)  0.35
Dy (0.739, 0.761, 0.489)  0.32
Ho (0.000, 0.000, 0.000)  0.28
Dy (0.739, 0.761, 0.011)  0.32
Dy (0.751, 0.233, 0.492)  0.33
Sc (0.500, 0.500, 0.000)  0.35
Dy (0.249, 0.767, 0.508)  0.33
Y (0.000, 0.500, 0.000)  0.26
Dy (0.733, 0.251, 0.992)  0.33
Sc (0.500, 0.000, 0.500)  0.37
Sc (0.500, 0.000, 0.000)  0.37
Dy (0.261, 0.239, 0.989)  0.32
Ho (0.500, 0.500, 0.500)  0.28
Dy (0.267, 0.749, 0.008)  0.33


DyHoScZn: relaxed, PBE-GGA.

Computed properties:
The formation energy comes out at -0.1434 eV per atom. Its distance to the lowest polymorph of the same formula is 0 meV/atom. The space group is P4mm.

Cell lengths 3.509, 3.509, 8.228 Å; angles 90.00, 90.00, 90.00 degrees
Positions (direct):
Zn (0.000, 0.000, 0.569)
Sc (0.000, 0.000, 0.072)
Dy (0.500, 0.500, 0.790)
Ho (0.500, 0.500, 0.353)


no.,raw total energy (eV/atom)
1,-5.8725
2,-5.2865
3,-5.9364
4,-5.4482
5,-5.1413
6,-5.6390
7,-4.8197
8,-4.3398